Tc3PdBr | PBE-GGA | relaxed

Output
* ΔE_f (raw): 1.61 eV per atom
* theoretical density: 8.70 g/cm³
* relative energy among the computed polymorphs: 0.0 meV/atom

Cell and atoms, written as POSCAR:
```
Tc3PdBr
1.0
-2.056 1.861 -3.555
-3.006 -3.360 -0.021
-2.658 2.360 2.773
Pd Tc Br
1 3 1
Direct
0.500 0.500 0.500
0.000 0.000 0.500
0.000 0.500 0.000
0.500 0.000 0.000
0.000 0.000 0.000
```